No. 1
DFT (PBE) results for a relaxed structure of InCu2Ge.

CIF file:
```
data_InCu2Ge
_chemical_formula_sum 'In4 Cu8 Ge4'
_space_group_name_H-M_alt 'P m -3 m'
_space_group_IT_number 221
_space_group_name_Hall '-P 4 2 3'
_cell_length_a 6.422
_cell_length_b 6.422
_cell_length_c 6.422
_cell_angle_alpha 90.00
_cell_angle_beta 90.00
_cell_angle_gamma 90.00
loop_
_atom_site_label
_atom_site_type_symbol
_atom_site_fract_x
_atom_site_fract_y
_atom_site_fract_z
_atom_site_occupancy
In1 In 0.000 0.000 0.000 1
In2 In 0.000 0.000 0.500 1
Cu1 Cu 0.268 0.268 0.268 1
Ge1 Ge 0.000 0.500 0.500 1
Ge2 Ge 0.500 0.500 0.500 1
```

No. 2
DFT (PBE) results for a relaxed structure of SiNiPdW.

CIF file:
```
data_SiNiPdW
_chemical_formula_sum 'Si4 Ni4 Pd4 W4'
_space_group_name_H-M_alt 'F -4 3 m'
_space_group_IT_number 216
_space_group_name_Hall 'F -4 2 3'
_cell_length_a 6.045
_cell_length_b 6.045
_cell_length_c 6.045
_cell_angle_alpha 90.00
_cell_angle_beta 90.00
_cell_angle_gamma 90.00
loop_
_atom_site_label
_atom_site_type_symbol
_atom_site_fract_x
_atom_site_fract_y
_atom_site_fract_z
_atom_site_occupancy
Si1 Si 0.000 0.000 0.000 1
Ni1 Ni 0.250 0.250 0.250 1
Pd1 Pd 0.250 0.250 0.750 1
W1 W 0.000 0.000 0.500 1
```

## Properties
Magnetization   0.24 μB/f.u.

No. 3
DFT (PBE) results for a relaxed structure of ZrTlHg2.

CIF file:
```
data_ZrTlHg2
_chemical_formula_sum 'Zr4 Tl4 Hg8'
_space_group_name_H-M_alt 'F -4 3 m'
_space_group_IT_number 216
_space_group_name_Hall 'F -4 2 3'
_cell_length_a 7.148
_cell_length_b 7.148
_cell_length_c 7.148
_cell_angle_alpha 90.00
_cell_angle_beta 90.00
_cell_angle_gamma 90.00
loop_
_atom_site_label
_atom_site_type_symbol
_atom_site_fract_x
_atom_site_fract_y
_atom_site_fract_z
_atom_site_occupancy
Zr1 Zr 0.000 0.000 0.000 1
Tl1 Tl 0.250 0.250 0.750 1
Hg1 Hg 0.000 0.000 0.500 1
Hg2 Hg 0.250 0.250 0.250 1
```

## Properties
Magnetization   0.01 μB/f.u.

No. 4
DFT (PBE) results for a relaxed structure of Pa3ZnI2.

CIF file:
```
data_Pa3ZnI2
_chemical_formula_sum 'Pa3 Zn1 I2'
_space_group_name_H-M_alt 'P -3 m 1'
_space_group_IT_number 164
_space_group_name_Hall '-P 3 2"'
_cell_length_a 4.3875
_cell_length_b 4.3875
_cell_length_c 9.8607
_cell_angle_alpha 90.00
_cell_angle_beta 90.00
_cell_angle_gamma 120.00
loop_
_atom_site_label
_atom_site_type_symbol
_atom_site_fract_x
_atom_site_fract_y
_atom_site_fract_z
_atom_site_occupancy
Pa1 Pa 0.0000 0.0000 0.0000 1
Pa2 Pa 0.3333 0.6667 0.3575 1
Zn1 Zn 0.0000 0.0000 0.5000 1
I1 I 0.3333 0.6667 0.8232 1
```

## Properties
Magnetization   1.24 μB/f.u.

What did we get for total energy? Answer: -56.288 -113.496 -42.450 -31.774 eV for the cell shown, in the order shown.
What did we get for calculated volume? Answer: 66 55 91 164 Å³/f.u., in the order shown.